## KSi2WSe (GGA-PBE)

Data for a geometry-optimized KSi2WSe structure.

The structure in POSCAR format:
```
KSi2WSe
1.0
4.851 0.000 0.000
0.000 4.851 0.000
0.000 0.000 5.141
K Si W Se
1 2 1 1
Direct
0.000 0.000 0.000
0.000 0.500 0.500
0.500 0.000 0.500
0.500 0.500 0.500
0.500 0.500 0.000
```

Values from the calculation:
Space group = P4/mmm (123)
Raw formation energy = 18.6 kJ per mole of atoms
DOS(E_F) = 2.49 states/eV/cell